Record 1
Ni2AgRhN (GGA-PBE, optimized geometry); space group = P4/mmm (123)
1.0
3.894 0.000 0.000
0.000 3.894 0.000
0.000 0.000 4.004
Ni Ag Rh N
2 1 1 1
Direct
0.000 0.500 0.000
0.500 0.000 0.000
0.000 0.000 0.500
0.500 0.500 0.500
0.500 0.500 0.000


Record 2
NiAgRu2N (GGA-PBE, optimized geometry); space group = P4/mmm (123)
1.0
4.031 0.000 0.000
0.000 4.031 0.000
0.000 0.000 3.956
Ni Ag Ru N
1 1 2 1
Direct
0.000 0.000 0.000
0.500 0.500 0.000
0.000 0.500 0.500
0.500 0.000 0.500
0.000 0.000 0.500


Record 3
NiAgSN2 (GGA-PBE, optimized geometry); space group = P4/mmm (123); ΔE to the lowest computed polymorph = 896 meV/atom
1.0
3.949 0.000 0.000
0.000 3.949 0.000
0.000 0.000 5.342
Ni Ag S N
1 1 1 2
Direct
0.000 0.000 0.000
0.500 0.500 0.500
0.500 0.500 0.000
0.000 0.500 0.500
0.500 0.000 0.500


Record 4
NiAgS2N (GGA-PBE, optimized geometry); space group = P4/mmm (123); ΔE to the lowest computed polymorph = 989 meV/atom
1.0
4.925 0.000 0.000
0.000 4.925 0.000
0.000 0.000 3.823
Ni Ag S N
1 1 2 1
Direct
0.000 0.000 0.000
0.500 0.500 0.500
0.000 0.500 0.500
0.500 0.000 0.500
0.500 0.500 0.000


Record 5
NiAgS2N (GGA-PBE, optimized geometry); space group = P4/mmm (123); ΔE to the lowest computed polymorph = 0 meV/atom
1.0
4.809 0.000 0.000
0.000 4.809 0.000
0.000 0.000 3.388
Ni Ag S N
1 1 2 1
Direct
0.000 0.000 0.000
0.500 0.500 0.500
0.000 0.500 0.000
0.500 0.000 0.000
0.000 0.000 0.500


Record 6
NiAgSN2 (GGA-PBE, optimized geometry); space group = P4/mmm (123); ΔE to the lowest computed polymorph = 0 meV/atom
1.0
3.525 0.000 0.000
0.000 3.525 0.000
0.000 0.000 6.918
Ni Ag S N
1 1 1 2
Direct
0.000 0.000 0.000
0.500 0.500 0.500
0.000 0.000 0.500
0.000 0.500 0.000
0.500 0.000 0.000


Record 7
ScNiAg2N (GGA-PBE, optimized geometry); space group = P4/mmm (123)
1.0
4.980 0.000 0.000
0.000 4.980 0.000
0.000 0.000 3.461
Sc Ni Ag N
1 1 2 1
Direct
0.000 0.000 0.000
0.500 0.500 0.500
0.000 0.500 0.500
0.500 0.000 0.500
0.500 0.500 0.000


Record 8
NiAgSeN2 (GGA-PBE, optimized geometry); space group = P4/mmm (123); ΔE to the lowest computed polymorph = 761 meV/atom
1.0
3.818 0.000 0.000
0.000 3.818 0.000
0.000 0.000 5.182
Ni Ag Se N
1 1 1 2
Direct
0.000 0.000 0.000
0.500 0.500 0.000
0.500 0.500 0.500
0.000 0.500 0.500
0.500 0.000 0.500


Record 9
NiAgSeN2 (GGA-PBE, optimized geometry); space group = P4/mmm (123); ΔE to the lowest computed polymorph = 959 meV/atom
1.0
3.874 0.000 0.000
0.000 3.874 0.000
0.000 0.000 5.635
Ni Ag Se N
1 1 1 2
Direct
0.000 0.000 0.000
0.500 0.500 0.500
0.500 0.500 0.000
0.000 0.500 0.500
0.500 0.000 0.500


Record 10
NiAgSeN2 (GGA-PBE, optimized geometry); space group = P4/mmm (123); ΔE to the lowest computed polymorph = 0 meV/atom
1.0
3.686 0.000 0.000
0.000 3.686 0.000
0.000 0.000 5.446
Ni Ag Se N
1 1 1 2
Direct
0.000 0.000 0.000
0.500 0.500 0.500
0.000 0.000 0.500
0.000 0.500 0.000
0.500 0.000 0.000


Record 11
NiAgSn2N (GGA-PBE, optimized geometry); space group = P4/mmm (123)
1.0
5.392 0.000 0.000
0.000 5.392 0.000
0.000 0.000 3.359
Ni Ag Sn N
1 1 2 1
Direct
0.000 0.000 0.000
0.500 0.500 0.500
0.000 0.500 0.000
0.500 0.000 0.000
0.000 0.000 0.500


Record 12
Tc2NiAgN (GGA-PBE, optimized geometry); space group = P4/mmm (123)
1.0
4.040 0.000 0.000
0.000 4.040 0.000
0.000 0.000 3.955
Tc Ni Ag N
2 1 1 1
Direct
0.000 0.500 0.000
0.500 0.000 0.000
0.000 0.000 0.500
0.500 0.500 0.500
0.000 0.000 0.000


no.,ΔE_f (raw) (eV per atom)
1,0.12
2,0.34
3,2.09
4,1.68
5,0.69
6,1.19
7,0.42
8,1.94
9,2.14
10,1.18
11,0.27
12,0.24